[1]
Pm5Ir2Rh | GGA-PBE | optimized geometry

Cell: 7.659 7.659 13.979 Å, 90.00 90.00 90.00°
Space group I4/mcm (No. 140)
Inequivalent atoms, fractional coordinates:
Pm 0.000 0.000 0.000 x4
Pm 0.172 0.328 0.141 x16
Ir 0.130 0.370 0.500 x8
Rh 0.000 0.000 0.250 x4

Values from the calculation:
Spin magnetization (μB per atom): 0.00
E_tot (eV for the cell shown): -214.5
Energy of formation from the pure elements (kJ per mole of atoms): -57.81
Fermi-level density of states (states/eV/cell): 29.16



[2]
Ba2GaPd | GGA-PBE | optimized geometry

Cell: 4.061 4.061 7.745 Å, 90.00 90.00 90.00°
Space group P4/mmm (No. 123)
Inequivalent atoms, fractional coordinates:
Ba 0.000 0.000 0.242 x2
Ga 0.500 0.500 0.500 x1
Pd 0.500 0.500 0.000 x1

Values from the calculation:
Spin magnetization (μB per atom): 0.00
E_tot (eV for the cell shown): -13.5
Energy of formation from the pure elements (kJ per mole of atoms): -34.96
Fermi-level density of states (states/eV/cell): 1.89



[3]
Ca2ZnSi4Pt3 | GGA-PBE | optimized geometry

Cell: 4.177 4.177 10.171 Å, 90.00 90.00 90.00°
Space group P-4m2 (No. 115)
Inequivalent atoms, fractional coordinates:
Ca 0.000 0.500 0.250 x2
Zn 0.000 0.000 0.500 x1
Si 0.000 0.000 0.000 x1
Si 0.000 0.500 0.638 x2
Si 0.500 0.500 0.000 x1
Pt 0.000 0.500 0.876 x2
Pt 0.500 0.500 0.500 x1

Values from the calculation:
Spin magnetization (μB per atom): 0.00
E_tot (eV for the cell shown): -53.3
Formation energy from raw total energies (eV/atom): -0.819
Fermi-level density of states (states/eV/cell): 3.29



[4]
SrUSb | GGA-PBE | optimized geometry

Cell: 18.325 4.020 4.852 Å, 90.00 92.98 90.00°
Space group C2/m (No. 12)
Inequivalent atoms, fractional coordinates:
Sr 0.073 0.000 0.262 x4
U 0.243 0.500 0.329 x4
Sb 0.123 0.500 0.780 x4

Values from the calculation:
Spin magnetization (μB per atom): 0.69
E_tot (eV for the cell shown): -72.6
Formation energy from raw total energies (eV/atom): -0.352
Fermi-level density of states (states/eV/cell): 20.24